No. 1
{
  "formula": "Cd2TcPtO",
  "functional": "PBE",
  "state": "optimized geometry",
  "lattice_angstrom": [[-0.7235, -0.3579, -5.3359], [3.4088, -1.3971, -0.3685], [-1.9779, -4.9848, 0.6025]],
  "species": ["O", "Tc", "Pt", "Cd", "Cd"],
  "frac_coords": [[0.0000, 0.5000, 0.0000], [0.5000, 0.5000, 0.5000], [0.0000, 0.0000, 0.0000], [0.0000, 0.0000, 0.5000], [0.5000, 0.0000, 0.0000]],
  "volume_a3_per_atom": 21.57,
  "crystal_system": "tetragonal",
  "raw_formation_energy_mev_per_atom": 689,
  "e_tot_ev_per_fu": -19.75,
  "space_group": "P4/mmm"
}

---

No. 2
{
  "formula": "Rb2ReI",
  "functional": "PBE",
  "state": "optimized geometry",
  "lattice_angstrom": [[1.5096, -5.5818, 2.4226], [-3.3390, -5.0836, -1.5204], [2.5186, -4.4264, -3.6562]],
  "species": ["I", "Re", "Rb", "Rb"],
  "frac_coords": [[0.0000, 0.0000, 0.0000], [0.5000, 0.5000, 0.5000], [0.2500, 0.2500, 0.2500], [0.7500, 0.7500, 0.7500]],
  "volume_a3_per_atom": 43.56,
  "crystal_system": "cubic",
  "raw_formation_energy_mev_per_atom": 917,
  "e_tot_ev_per_fu": -12.27,
  "space_group": "Fm-3m"
}

---

No. 3
{
  "formula": "Ce2Al4Ir3Pt",
  "functional": "PBE",
  "state": "optimized geometry",
  "lattice_angstrom": [[4.1845, 0.0000, 0.0000], [0.0000, 4.1845, 0.0000], [0.0000, 0.0000, 10.5954]],
  "species": ["Ce", "Ce", "Al", "Al", "Al", "Al", "Ir", "Ir", "Ir", "Pt"],
  "frac_coords": [[0.5000, 0.0000, 0.2482], [0.0000, 0.5000, 0.7518], [0.5000, 0.5000, 0.0000], [0.0000, 0.0000, 0.0000], [0.5000, 0.0000, 0.6269], [0.0000, 0.5000, 0.3731], [0.0000, 0.0000, 0.5000], [0.5000, 0.0000, 0.8621], [0.0000, 0.5000, 0.1379], [0.5000, 0.5000, 0.5000]],
  "e_form_ev_per_atom": -0.9073,
  "volume_a3_per_atom": 18.55,
  "crystal_system": "tetragonal",
  "e_tot_ev_per_fu": -68.53,
  "space_group": "P-4m2"
}